# 1
Entry from Alexandria: Hg3Au5 at its PBEsol-relaxed geometry (SCAN).

Properties
The space group is C2/m. The value obtained for the formation energy is 77 meV/atom. The total energy comes out at -549.7 eV per formula unit.

Cell: 5.9350 7.3886 7.9448 Å, 87.20 83.02 66.32°
Atoms (fractional coordinates):
Au1 0.2575 0.2353 0.1627
Au2 0.9200 0.2768 0.6663
Au3 0.2704 0.0000 0.4422
Au4 0.4929 0.7647 0.1627
Au5 0.8033 0.2768 0.3337
Au6 0.1967 0.7232 0.6663
Au7 0.5071 0.2353 0.8373
Au8 0.7296 0.0000 0.5578
Au9 0.0800 0.7232 0.3337
Au10 0.7425 0.7647 0.8373
Hg1 0.6808 0.6385 0.5000
Hg2 0.7962 0.4077 0.0000
Hg3 0.2258 0.0000 0.8821
Hg4 0.7742 0.0000 0.1179
Hg5 0.2038 0.5923 0.0000
Hg6 0.3192 0.3615 0.5000

# 2
Entry from Alexandria: HgAu2 at its PBEsol-relaxed geometry (SCAN).

Properties
The space group is I4/mcm. The value obtained for the formation energy is 21 meV/atom. The total energy comes out at -206.4 eV per formula unit.

Cell: 5.3716 5.7069 5.3716 Å, 61.93 90.00 118.07°
Atoms (fractional coordinates):
Au1 0.8164 0.0000 0.6836
Au2 0.3164 0.0000 0.8164
Au3 0.6836 0.0000 0.1836
Au4 0.1836 0.0000 0.3164
Hg1 0.2500 0.5000 0.7500
Hg2 0.7500 0.5000 0.2500

# 3
Entry from Alexandria: HgAu2 at its PBEsol-relaxed geometry (SCAN).

Properties
The space group is C2/m. The value obtained for the formation energy is 65 meV/atom. The total energy comes out at -206.3 eV per formula unit.

Cell: 3.0022 5.6068 7.4635 Å, 113.21 90.00 105.53°
Atoms (fractional coordinates):
Au1 0.5545 0.1090 0.7782
Au2 0.1464 0.2928 0.5295
Au3 0.8536 0.7072 0.4705
Au4 0.4455 0.8910 0.2218
Hg1 0.1584 0.3168 0.1368
Hg2 0.8416 0.6832 0.8632

# 4
Entry from Alexandria: Hg2Au at its PBEsol-relaxed geometry (SCAN).

Properties
The space group is P-3m1. The value obtained for the formation energy is 75 meV/atom. The total energy comes out at -205.3 eV per formula unit.

Cell: 4.1118 4.1118 4.6674 Å, 90.00 90.00 120.00°
Atoms (fractional coordinates):
Au1 0.0000 0.0000 0.0000
Hg1 0.6667 0.3333 0.6852
Hg2 0.3333 0.6667 0.3148

> Number 1 is which compound?

Hg3Au5

> What is the formula in the first record?

Hg3Au5